Material: TlCrRuO6
Method: DFT, GGA+U
State: relaxed

Electronic total energy = -6.4636 eV/atom
DOS at the Fermi energy = 3.72 states/eV/cell

Cell and atoms, written as POSCAR:
```
TlCrRuO6
1.0
5.1971 -0.0006 -0.0003
2.5983 4.5000 0.0003
-0.0002 -0.0014 4.7580
Tl Cr Ru O
1 1 1 6
Cartesian
5.1968 -0.0020 4.7577 Tl
5.1969 2.9989 2.3790 Cr
2.5984 1.4991 2.3790 Ru
0.9945 1.6575 1.3123 O
1.9336 0.0312 3.4457 O
4.2017 1.6572 3.4462 O
1.6596 2.8088 3.4459 O
3.5372 2.8087 1.3122 O
3.2628 0.0316 1.3115 O
```